1.
Computed, not measured: Te2PSe after structural relaxation at the GGA-PBE level of DFT.

abc: 4.4964 4.4964 8.3583
angles: 90.00 90.00 128.41
Sites, in units of the cell vectors:
Te  0.0000  0.0000  0.9730
Te  0.5000  0.5000  0.7324
P  0.0000  0.0000  0.4740
Se  0.5000  0.5000  0.3206

Results
Offset from the most stable computed form in meV per atom: 178
Energy in eV for the cell shown: -13.8
Density of states at the Fermi level in states/eV/f.u.: 3.51
Energy relative to the elements, uncorrected in eV/atom: 0.3511

2.
Computed, not measured: TePSe2 after structural relaxation at the GGA-PBE level of DFT.

abc: 8.3807 8.3807 8.3807
angles: 157.47 146.28 40.94
Sites, in units of the cell vectors:
Te  0.3996  0.3996  0.0000
P  0.1869  0.6869  0.5000
Se  0.0886  0.0886  0.0000
Se  0.8250  0.3250  0.5000

Results
Offset from the most stable computed form in meV per atom: 82
Energy in eV for the cell shown: -14.6
Density of states at the Fermi level in states/eV/f.u.: 1.96
Energy relative to the elements, uncorrected in eV/atom: 0.2351

3.
Computed, not measured: Te2PSe after structural relaxation at the GGA-PBE level of DFT.

abc: 8.9714 8.9714 8.9714
angles: 154.92 154.92 35.77
Sites, in units of the cell vectors:
Te  0.0000  0.0000  0.0000
Te  0.2500  0.7500  0.5000
P  0.5000  0.5000  0.0000
Se  0.7500  0.2500  0.5000

Results
Offset from the most stable computed form in meV per atom: 211
Energy in eV for the cell shown: -13.6
Density of states at the Fermi level in states/eV/f.u.: 2.74
Energy relative to the elements, uncorrected in eV/atom: 0.3846

4.
Computed, not measured: TePSe after structural relaxation at the GGA-PBE level of DFT.

abc: 5.6142 6.0682 6.9895
angles: 111.34 108.38 98.02
Sites, in units of the cell vectors:
Te  0.2011  0.3563  0.6492
Te  0.9361  0.1263  0.9101
P  0.7762  0.7746  0.5229
P  0.7585  0.0385  0.3647
Se  0.1384  0.6576  0.4671
Se  0.8361  0.7931  0.0631

Results
Offset from the most stable computed form in meV per atom: 20
Energy in eV for the cell shown: -23.6
Energy relative to the elements, uncorrected in eV/atom: 0.0813

5.
Computed, not measured: Te2PSe after structural relaxation at the GGA-PBE level of DFT.

abc: 9.0202 9.0202 9.0202
angles: 24.90 24.90 24.90
Sites, in units of the cell vectors:
P  0.5000  0.5000  0.5000
Te  0.8980  0.8980  0.8980
Te  0.1020  0.1020  0.1020
Se  0.0000  0.0000  0.0000

Results
Offset from the most stable computed form in meV per atom: 135
Energy in eV for the cell shown: -13.9
Density of states at the Fermi level in states/eV/f.u.: 2.63
Energy relative to the elements, uncorrected in eV/atom: 0.3081

6.
Computed, not measured: TePSe after structural relaxation at the GGA-PBE level of DFT.

abc: 7.4954 7.4954 7.4954
angles: 153.54 148.95 41.24
Sites, in units of the cell vectors:
Te  0.4276  0.4276  0.0000
P  0.8623  0.8623  0.0000
Se  0.7101  0.7101  0.0000

Results
Offset from the most stable computed form in meV per atom: 163
Energy in eV for the cell shown: -11.4
Density of states at the Fermi level in states/eV/f.u.: 1.08
Energy relative to the elements, uncorrected in eV/atom: 0.2246

7.
Computed, not measured: Te2PSe after structural relaxation at the GGA-PBE level of DFT.

abc: 3.8902 3.9255 8.2456
angles: 90.00 90.00 90.00
Sites, in units of the cell vectors:
Te  0.0000  0.0000  0.0000
Te  0.0000  0.5000  0.5000
P  0.5000  0.5000  0.0000
Se  0.5000  0.0000  0.5000

Results
Offset from the most stable computed form in meV per atom: 223
Energy in eV for the cell shown: -13.6
Density of states at the Fermi level in states/eV/f.u.: 4.28
Energy relative to the elements, uncorrected in eV/atom: 0.3961

8.
Computed, not measured: TePSe2 after structural relaxation at the GGA-PBE level of DFT.

abc: 4.8976 4.8976 3.8570
angles: 90.00 90.00 108.71
Sites, in units of the cell vectors:
Te  0.0000  0.0000  0.5000
P  0.5000  0.5000  0.5000
Se  0.5000  0.0000  0.0000
Se  0.0000  0.5000  0.0000

Results
Offset from the most stable computed form in meV per atom: 552
Energy in eV for the cell shown: -12.7
Density of states at the Fermi level in states/eV/f.u.: 2.15
Energy relative to the elements, uncorrected in eV/atom: 0.7055

9.
Computed, not measured: Te2PSe after structural relaxation at the GGA-PBE level of DFT.

abc: 6.9931 6.9931 4.2897
angles: 76.59 76.59 32.67
Sites, in units of the cell vectors:
Te  0.0075  0.0075  0.0164
Te  0.8165  0.8165  0.7864
P  0.4712  0.4712  0.5127
Se  0.2048  0.2048  0.1845

Results
Offset from the most stable computed form in meV per atom: 126
Energy in eV for the cell shown: -14.0
Density of states at the Fermi level in states/eV/f.u.: 1.55
Energy relative to the elements, uncorrected in eV/atom: 0.2991

10.
Computed, not measured: Te2PSe after structural relaxation at the GGA-PBE level of DFT.

abc: 7.2934 7.2934 7.2934
angles: 32.77 32.77 32.77
Sites, in units of the cell vectors:
Te  0.7430  0.7430  0.7430
Te  0.2570  0.2570  0.2570
P  0.0000  0.0000  0.0000
Se  0.5000  0.5000  0.5000

Results
Offset from the most stable computed form in meV per atom: 0
Energy in eV for the cell shown: -14.5
Density of states at the Fermi level in states/eV/f.u.: 2.00
Energy relative to the elements, uncorrected in eV/atom: 0.1735

11.
Computed, not measured: TeP2Se after structural relaxation at the GGA-PBE level of DFT.

abc: 4.8141 4.8151 4.8130
angles: 69.92 71.77 110.09
Sites, in units of the cell vectors:
P  0.0000  0.0000  0.0000
P  0.5000  0.0000  0.5000
Se  0.0000  0.5000  0.5000
Te  0.5000  0.5000  0.0000

Results
Offset from the most stable computed form in meV per atom: 227
Energy in eV for the cell shown: -16.0
Density of states at the Fermi level in states/eV/f.u.: 1.19
Energy relative to the elements, uncorrected in eV/atom: 0.3630

12.
Computed, not measured: TePSe after structural relaxation at the GGA-PBE level of DFT.

abc: 8.2413 7.8304 3.4538
angles: 84.35 71.00 24.65
Sites, in units of the cell vectors:
Te  0.6477  0.6477  0.3523
P  0.9797  0.9797  0.0203
Se  0.3725  0.3725  0.6275

Results
Offset from the most stable computed form in meV per atom: 351
Energy in eV for the cell shown: -10.8
Density of states at the Fermi level in states/eV/f.u.: 0.59
Energy relative to the elements, uncorrected in eV/atom: 0.4122

13.
Computed, not measured: TePSe after structural relaxation at the GGA-PBE level of DFT.

abc: 6.1033 6.1033 6.1033
angles: 141.90 141.90 54.98
Sites, in units of the cell vectors:
Te  0.6188  0.6188  0.0000
P  0.0880  0.0880  0.0000
Se  0.2932  0.2932  0.0000

Results
Offset from the most stable computed form in meV per atom: 310
Energy in eV for the cell shown: -10.9
Density of states at the Fermi level in states/eV/f.u.: 2.79
Energy relative to the elements, uncorrected in eV/atom: 0.3713

14.
Computed, not measured: Te2PSe after structural relaxation at the GGA-PBE level of DFT.

abc: 3.5951 3.5951 7.0911
angles: 90.00 90.00 90.00
Sites, in units of the cell vectors:
Te  0.0000  0.0000  0.7790
Te  0.0000  0.0000  0.2210
P  0.5000  0.5000  0.0000
Se  0.5000  0.5000  0.5000

Results
Offset from the most stable computed form in meV per atom: 333
Energy in eV for the cell shown: -13.2
Density of states at the Fermi level in states/eV/f.u.: 3.42
Energy relative to the elements, uncorrected in eV/atom: 0.5063

15.
Computed, not measured: Te2PSe after structural relaxation at the GGA-PBE level of DFT.

abc: 3.7255 3.7255 9.2396
angles: 90.00 90.00 90.00
Sites, in units of the cell vectors:
Te  0.0000  0.0000  0.9198
Te  0.5000  0.5000  0.3329
P  0.0000  0.0000  0.4256
Se  0.5000  0.5000  0.8216

Results
Offset from the most stable computed form in meV per atom: 147
Energy in eV for the cell shown: -13.9
Density of states at the Fermi level in states/eV/f.u.: 1.99
Energy relative to the elements, uncorrected in eV/atom: 0.3206